Density functional theory data (PBE) for an optimized crystal structure of TbSmScTl.

Values from the calculation:
Symmetry = Pmmm, No. 47
Calculated formation energy = -0.18 eV per atom
Distance to the lowest polymorph of the same formula = 0 meV per atom
Calculated total energy = -4.690 eV/atom

Cell and atoms, written as POSCAR:
```
TbSmScTl
1.0
-2.195 4.251 0.620
-3.305 -2.098 2.685
2.652 0.802 3.891
Tb Sm Sc Tl
1 1 1 1
direct
0.500 0.500 0.000
0.500 0.000 0.500
0.000 0.500 0.500
0.000 0.000 0.000
```

=====

Density functional theory data (PBE) for an optimized crystal structure of Sm4Y3HoTe8.

Values from the calculation:
Symmetry = R-3m, No. 166
E_form (uncorrected) = -1.337 eV/atom
Calculated total energy = -5.585 eV/atom

Cell and atoms, written as POSCAR:
```
Sm4Y3HoTe8
1.0
-3.668 -5.364 5.889
7.669 -0.440 4.376
-3.615 7.814 -1.663
Sm Y Ho Te
4 3 1 8
direct
0.500 0.000 0.000
0.500 0.000 0.500
0.000 0.000 0.000
0.000 0.000 0.500
0.500 0.500 0.000
0.500 0.500 0.500
0.000 0.500 0.500
0.000 0.500 0.000
0.247 0.742 0.995
0.247 0.742 0.493
0.252 0.257 0.505
0.749 0.742 0.995
0.251 0.258 0.005
0.748 0.743 0.495
0.753 0.258 0.507
0.753 0.258 0.005
```